# 1
Ca2Mn2Au: optimized geometry, GGA-PBE. Values from VASP.

DOS(E_F), states/eV/f.u.: 6.46
Total energy, eV/atom: -4.69
Mass density, g/cm3: 5.09
Formation enthalpy at 0 K, eV per atom: 0.436

Structure (Quantum ESPRESSO input):
```
&SYSTEM
  ibrav = 0, nat = 5, ntyp = 3
/
ATOMIC_SPECIES
Ca 40.08 Ca.upf
Mn 54.94 Mn.upf
Au 196.97 Au.upf
CELL_PARAMETERS angstrom
-2.904 2.904 3.740
2.904 -2.904 3.740
2.904 2.904 -3.740
ATOMIC_POSITIONS angstrom
Ca 2.904 0.000 1.870
Ca 0.000 2.904 1.870
Mn 0.000 0.000 1.166
Mn 0.000 0.000 6.314
Au 0.000 0.000 3.740
```



# 2
B2PtAu: optimized geometry, GGA-PBE. Values from VASP.

DOS(E_F), states/eV/f.u.: 1.54
Total energy, eV/atom: -4.69
Mass density, g/cm3: 14.61
Formation enthalpy at 0 K, eV per atom: 0.983

Structure (Quantum ESPRESSO input):
```
&SYSTEM
  ibrav = 0, nat = 4, ntyp = 3
/
ATOMIC_SPECIES
B 10.81 B.upf
Pt 195.08 Pt.upf
Au 196.97 Au.upf
CELL_PARAMETERS angstrom
0.000 2.865 2.865
2.865 0.000 2.865
2.865 2.865 0.000
ATOMIC_POSITIONS angstrom
B 1.432 1.432 1.432
B 4.297 4.297 4.297
Pt 0.000 0.000 0.000
Au 2.865 2.865 2.865
```



# 3
BiBPt3: optimized geometry, GGA-PBE. Values from VASP.

DOS(E_F), states/eV/f.u.: 1.52
Total energy, eV/atom: -5.81
Mass density, g/cm3: 15.05
Formation enthalpy at 0 K, eV per atom: -0.077

Structure (Quantum ESPRESSO input):
```
&SYSTEM
  ibrav = 0, nat = 20, ntyp = 3
/
ATOMIC_SPECIES
Bi 208.98 Bi.upf
B 10.81 B.upf
Pt 195.08 Pt.upf
CELL_PARAMETERS angstrom
6.571 -4.564 0.000
6.571 4.564 0.000
-1.846 0.000 5.922
ATOMIC_POSITIONS angstrom
Bi 5.187 3.502 4.442
Bi 6.110 1.079 1.481
Bi 5.187 -1.079 4.442
Bi 6.110 -3.502 1.481
B 2.708 0.524 4.804
B 3.631 -0.524 1.843
B 7.665 0.524 4.079
B 8.588 -0.524 1.118
Pt 2.707 2.532 5.363
Pt 0.735 0.822 4.126
Pt 3.444 1.171 2.950
Pt 1.658 -0.822 1.165
Pt 7.666 2.532 3.521
Pt 2.521 -1.171 5.911
Pt 8.776 1.171 0.012
Pt 3.630 -2.532 2.401
Pt 9.638 0.822 4.758
Pt 7.853 -1.171 2.973
Pt 10.561 -0.822 1.797
Pt 8.590 -2.532 0.560
```



# 4
NbMoRu2: optimized geometry, GGA-PBE. Values from VASP.

DOS(E_F), states/eV/f.u.: 5.39
Total energy, eV/atom: -9.88
Mass density, g/cm3: 10.48
Formation enthalpy at 0 K, eV per atom: -0.020

Structure (Quantum ESPRESSO input):
```
&SYSTEM
  ibrav = 0, nat = 4, ntyp = 3
/
ATOMIC_SPECIES
Nb 92.91 Nb.upf
Mo 95.94 Mo.upf
Ru 101.07 Ru.upf
CELL_PARAMETERS angstrom
4.079 0.000 0.000
0.000 4.079 0.000
0.000 0.000 3.723
ATOMIC_POSITIONS angstrom
Nb 0.000 0.000 0.000
Mo 2.039 2.039 0.000
Ru 0.000 2.039 1.861
Ru 2.039 0.000 1.861
```



# 5
SmEu2Ho: optimized geometry, GGA-PBE. Values from VASP.

DOS(E_F), states/eV/f.u.: 5.14
Total energy, eV/atom: -7.30
Mass density, g/cm3: 7.18
Formation enthalpy at 0 K, eV per atom: 0.160

Structure (Quantum ESPRESSO input):
```
&SYSTEM
  ibrav = 0, nat = 4, ntyp = 3
/
ATOMIC_SPECIES
Sm 150.36 Sm.upf
Eu 151.96 Eu.upf
Ho 164.93 Ho.upf
CELL_PARAMETERS angstrom
0.000 4.153 4.153
4.153 0.000 4.153
4.153 4.153 0.000
ATOMIC_POSITIONS angstrom
Sm 0.000 0.000 0.000
Eu 2.077 2.077 2.077
Eu 6.230 6.230 6.230
Ho 4.153 4.153 4.153
```



# 6
MnIn2CS: optimized geometry, GGA-PBE. Values from VASP.

DOS(E_F), states/eV/f.u.: 4.71
Total energy, eV/atom: -3.90
Mass density, g/cm3: 4.74
Formation energy from raw total energies, eV per atom: 1.698

Structure (Quantum ESPRESSO input):
```
&SYSTEM
  ibrav = 0, nat = 5, ntyp = 4
/
ATOMIC_SPECIES
Mn 54.94 Mn.upf
In 114.82 In.upf
C 12.01 C.upf
S 32.06 S.upf
CELL_PARAMETERS angstrom
5.314 0.000 0.000
0.000 5.314 0.000
0.000 0.000 4.073
ATOMIC_POSITIONS angstrom
Mn 0.000 0.000 0.000
In 0.000 2.657 2.037
In 2.657 0.000 2.037
C 2.657 2.657 0.000
S 0.000 0.000 2.037
```



# 7
BaDyI2: optimized geometry, GGA-PBE. Values from VASP.

DOS(E_F), states/eV/f.u.: 3.90
Total energy, eV/atom: -3.22
Mass density, g/cm3: 5.54
Formation energy from raw total energies, eV per atom: -0.814

Structure (Quantum ESPRESSO input):
```
&SYSTEM
  ibrav = 0, nat = 4, ntyp = 3
/
ATOMIC_SPECIES
Ba 137.33 Ba.upf
Dy 162.50 Dy.upf
I 126.90 I.upf
CELL_PARAMETERS angstrom
2.052 1.185 11.377
-2.052 1.185 11.377
0.000 -2.369 11.377
ATOMIC_POSITIONS angstrom
Ba 0.000 0.000 0.000
Dy 0.000 0.000 17.065
I 0.000 0.000 3.630
I 0.000 0.000 30.501
```



# 8
CeUCrN4: optimized geometry, GGA-PBE. Values from VASP.

DOS(E_F), states/eV/f.u.: 7.76
Total energy, eV/atom: -9.70
Mass density, g/cm3: 9.57
Formation energy from raw total energies, eV per atom: -1.105

Structure (Quantum ESPRESSO input):
```
&SYSTEM
  ibrav = 0, nat = 14, ntyp = 4
/
ATOMIC_SPECIES
Ce 140.12 Ce.upf
U 238.03 U.upf
Cr 52.00 Cr.upf
N 14.01 N.upf
CELL_PARAMETERS angstrom
2.607 -6.132 0.000
2.607 6.132 0.000
0.000 0.000 5.276
ATOMIC_POSITIONS angstrom
Ce 2.607 4.837 3.957
Ce 2.607 -4.837 1.319
U 2.607 1.353 3.957
U 2.607 -1.353 1.319
Cr 2.607 3.228 1.319
Cr 2.607 -3.228 3.957
N 1.303 3.066 0.000
N 1.303 3.066 2.638
N 2.607 5.160 1.319
N 2.607 0.731 1.319
N 1.303 -3.066 0.000
N 1.303 -3.066 2.638
N 2.607 -0.731 3.957
N 2.607 -5.160 3.957
```